PBE-GGA Ba2Li6Zn3, optimized geometry; size of the total moment = 0.00 μB per cell; ΔH_f (0 K) = -0.04 eV/atom; SG = P-62m, No. 189
1.0
8.424 0.000 0.000
-4.212 7.295 0.000
0.000 0.000 4.700
Ba Li Zn
2 6 3
direct
0.333 0.667 0.000
0.667 0.333 0.000
0.000 0.244 0.500
0.000 0.804 0.000
0.196 0.196 0.000
0.244 0.000 0.500
0.756 0.756 0.500
0.804 0.000 0.000
0.000 0.621 0.500
0.379 0.379 0.500
0.621 0.000 0.500